Entry 1:
A relaxed structure of SmLuSi, computed with PBE.

- DFT total energy: -15.97 eV per formula unit
- Total magnetization: 0.0 μB per formula unit

abc: 6.8493 6.8493 6.8493
angles: 90.00 90.00 90.00
Closest atoms and distances in Å follow each position.
Space group F-43m (No. 216)
Unique sites:
Sm 0.0000 0.0000 0.0000 [4 per cell]  4 Si 2.97
Lu 0.0000 0.0000 0.5000 [4 per cell]  4 Si 2.97
Si 0.2500 0.2500 0.7500 [4 per cell]  4 Sm 2.97, 4 Lu 2.97



Entry 2:
A relaxed structure of LuSi2Sn, computed with PBE.

- DFT total energy: -18.53 eV per formula unit
- Total magnetization: 0.0 μB per formula unit

abc: 7.0048 7.0048 7.0048
angles: 90.00 90.00 90.00
Closest atoms and distances in Å follow each position.
Space group F-43m (No. 216)
Unique sites:
Lu 0.0000 0.0000 0.0000 [4 per cell]  4 Sn 3.03, 4 Si 3.03
Si 0.0000 0.0000 0.5000 [4 per cell]  4 Si 3.03, 4 Sn 3.03
Si 0.2500 0.2500 0.2500 [4 per cell]  4 Si 3.03, 4 Lu 3.03
Sn 0.2500 0.2500 0.7500 [4 per cell]  4 Si 3.03, 4 Lu 3.03



Entry 3:
A relaxed structure of LuSiSn, computed with PBE.

- DFT total energy: -14.13 eV per formula unit
- Total magnetization: 0.0 μB per formula unit

abc: 6.7275 6.7275 6.7275
angles: 90.00 90.00 90.00
Closest atoms and distances in Å follow each position.
Space group F-43m (No. 216)
Unique sites:
Lu 0.0000 0.0000 0.0000 [4 per cell]  4 Si 2.91
Si 0.2500 0.2500 0.2500 [4 per cell]  4 Sn 2.91, 4 Lu 2.91
Sn 0.0000 0.0000 0.5000 [4 per cell]  4 Si 2.91



Repeat the third record exactly.
A relaxed structure of LuSiSn, computed with PBE.

- DFT total energy: -14.13 eV per formula unit
- Total magnetization: 0.0 μB per formula unit

abc: 6.7275 6.7275 6.7275
angles: 90.00 90.00 90.00
Closest atoms and distances in Å follow each position.
Space group F-43m (No. 216)
Unique sites:
Lu 0.0000 0.0000 0.0000 [4 per cell]  4 Si 2.91
Si 0.2500 0.2500 0.2500 [4 per cell]  4 Sn 2.91, 4 Lu 2.91
Sn 0.0000 0.0000 0.5000 [4 per cell]  4 Si 2.91



The lowest DFT total energy belongs to which entry? LuSi2Sn



Look up the DFT total energy of the second one. -18.53 eV per formula unit